A plane-wave DFT calculation with PBE was carried out for a geometry-optimized Pm2Sm structure.

```
Pm2Sm
1.0
-0.908 -0.947 3.281
-1.129 -3.121 -1.213
16.230 -4.384 1.323
Sm Pm
2 4
Cartesian
0.000 0.000 0.000
7.042 -4.770 0.572
12.830 -5.413 1.987
4.770 -2.678 2.450
1.364 -3.039 1.403
9.534 -4.688 3.188
```

Calculated values
Symmetry: I4_1/amd
Energy of formation (eV per atom): 0.13
Energy (eV/atom): -4.61
M_tot (Bohr magnetons per cell): 0.000



A plane-wave DFT calculation with PBE was carried out for a geometry-optimized PmSm3 structure.

```
PmSm3
1.0
-3.146 -3.583 -4.131
3.344 -0.574 -5.319
1.517 -0.880 6.061
Sm Pm
3 1
Cartesian
0.099 -2.078 -4.725
2.480 -1.766 -1.992
-0.765 -3.271 -1.398
0.000 0.000 0.000
```

Calculated values
Symmetry: I4/mmm
Energy of formation (eV per atom): 0.01
Energy (eV/atom): -4.71
M_tot (Bohr magnetons per cell): 0.000